[1]
SrBi12Rh6 (PBE, optimized geometry); DFT total energy = -4.966 eV/atom; energy of formation = -0.105 eV/atom; SG = R-3m; crystal system = trigonal
1.0
6.7771 3.9128 3.1379
-6.7771 3.9128 3.1379
0.0000 -7.8256 3.1379
Sr Bi Rh
1 12 6
Cartesian
0.0000 0.0000 0.0000 Sr
-2.5849 -4.4771 4.7068 Bi
-5.1697 0.0000 4.7068 Bi
-1.8099 -1.0450 3.1680 Bi
1.8099 -1.0449 3.1680 Bi
0.0000 2.0899 3.1680 Bi
2.5849 -4.4771 4.7068 Bi
-2.5849 4.4771 4.7068 Bi
0.0000 -2.0899 6.2456 Bi
-1.8099 1.0450 6.2456 Bi
1.8099 1.0449 6.2456 Bi
5.1698 0.0000 4.7068 Bi
2.5849 4.4771 4.7068 Bi
0.0000 -3.6550 3.9544 Rh
-3.1653 1.8275 3.9544 Rh
-3.1653 -1.8275 5.4591 Rh
3.1653 1.8275 3.9544 Rh
3.1653 -1.8275 5.4591 Rh
0.0000 3.6550 5.4591 Rh

---

[2]
ScBrCl3 (PBE, optimized geometry); DFT total energy = -2.587 eV/atom; SG = Pm-3m; crystal system = cubic
1.0
5.3546 0.0000 0.0000
0.0000 5.3546 0.0000
0.0000 0.0000 5.3546
Sc Br Cl
1 1 3
Cartesian
0.0000 0.0000 0.0000 Sc
2.6773 2.6773 2.6773 Br
0.0000 2.6773 2.6773 Cl
2.6773 0.0000 2.6773 Cl
2.6773 2.6773 0.0000 Cl

---

[3]
Ho3Zr2Sb3 (PBE, optimized geometry); DFT total energy = -6.279 eV/atom; SG = P6_3/mcm; crystal system = hexagonal
1.0
8.7784 0.0000 0.0000
-4.3892 7.6023 0.0000
0.0000 0.0000 6.0041
Ho Zr Sb
6 4 6
Cartesian
-1.0997 1.9047 1.5010 Ho
-3.2895 5.6976 4.5030 Ho
2.1994 0.0000 1.5010 Ho
1.0997 1.9047 4.5030 Ho
6.5790 0.0000 4.5030 Ho
3.2895 5.6976 1.5010 Ho
0.0000 5.0682 0.0000 Zr
0.0000 5.0682 3.0020 Zr
4.3892 2.5341 0.0000 Zr
4.3892 2.5341 3.0020 Zr
-1.7246 2.9871 4.5030 Sb
-2.6646 4.6152 1.5010 Sb
3.4492 0.0000 4.5030 Sb
1.7246 2.9871 1.5010 Sb
5.3292 0.0000 1.5010 Sb
2.6646 4.6152 4.5030 Sb

---

[4]
Pu2Ge4PtRh3 (PBE, optimized geometry); DFT total energy = -8.181 eV/atom; energy of formation = -0.658 eV/atom; SG = P-4m2; crystal system = tetragonal
1.0
4.2039 0.0000 0.0000
0.0000 4.2039 0.0000
0.0000 0.0000 10.3378
Pu Ge Pt Rh
2 4 1 3
Cartesian
0.0000 2.1020 2.5014 Pu
2.1020 0.0000 7.8364 Pu
0.0000 0.0000 0.0000 Ge
0.0000 2.1020 6.5868 Ge
2.1020 0.0000 3.7510 Ge
2.1020 2.1020 0.0000 Ge
0.0000 0.0000 5.1689 Pt
0.0000 2.1020 9.0115 Rh
2.1020 0.0000 1.3263 Rh
2.1020 2.1020 5.1689 Rh

---

[5]
TbGa2CuAu4 (PBE, optimized geometry); DFT total energy = -3.877 eV/atom; energy of formation = -0.391 eV/atom; SG = R-3m; crystal system = trigonal
1.0
2.2473 1.2975 8.4946
-2.2473 1.2975 8.4946
0.0000 -2.5949 8.4946
Tb Ga Cu Au
1 2 1 4
Cartesian
0.0000 0.0000 0.0000 Tb
0.0000 0.0000 6.2693 Ga
0.0000 0.0000 19.2146 Ga
0.0000 0.0000 12.7420 Cu
0.0000 0.0000 3.4114 Au
0.0000 0.0000 10.0702 Au
0.0000 0.0000 15.4137 Au
0.0000 0.0000 22.0725 Au

---

[6]
KHgOs2 (PBE, optimized geometry); DFT total energy = -4.734 eV/atom; energy of formation = 1.230 eV/atom; SG = Pmmm; crystal system = orthorhombic
1.0
2.7006 0.0000 0.0000
0.0000 4.9287 0.0000
0.0000 0.0000 6.8252
K Hg Os
1 1 2
Cartesian
0.0000 0.0000 0.0000 K
0.0000 0.0000 3.4126 Hg
1.3503 2.4644 2.2562 Os
1.3503 2.4644 4.5690 Os

---

[7]
BaMnRh (PBE, optimized geometry); DFT total energy = -5.512 eV/atom; energy of formation = 0.636 eV/atom; SG = F-43m; crystal system = cubic
1.0
0.0000 3.3656 3.3656
3.3656 0.0000 3.3656
3.3656 3.3656 0.0000
Ba Mn Rh
1 1 1
Cartesian
0.0000 0.0000 0.0000 Ba
5.0483 5.0483 5.0483 Mn
3.3656 3.3656 3.3656 Rh

---

[8]
TbThPdRu (PBE, optimized geometry); DFT total energy = -7.313 eV/atom; energy of formation = -0.684 eV/atom; SG = Amm2; crystal system = orthorhombic
1.0
4.1032 0.0000 0.0000
0.0000 1.9516 5.6709
0.0000 -1.9516 5.6709
Tb Th Pd Ru
1 1 1 1
Cartesian
0.0000 0.0000 0.0000 Tb
2.0516 0.0000 3.1625 Th
2.0516 0.0000 6.3114 Pd
0.0000 0.0000 8.3823 Ru

---

[9]
La4PmHoEr2 (PBE, optimized geometry); DFT total energy = -4.749 eV/atom; energy of formation = 0.022 eV/atom; SG = C2/m; crystal system = monoclinic
1.0
5.0268 -3.6879 0.0000
5.0268 3.6879 0.0000
-0.0107 0.0000 7.3926
La Pm Ho Er
4 1 1 2
Cartesian
7.5369 -1.8435 1.8376 La
2.5059 1.8435 5.5550 La
7.5369 1.8435 1.8376 La
2.5059 -1.8435 5.5550 La
-0.0054 0.0000 3.6963 Pm
5.0268 0.0000 0.0000 Ho
0.0000 0.0000 0.0000 Er
5.0214 0.0000 3.6963 Er

---

[10]
Hf2MoHPd (PBE, optimized geometry); DFT total energy = -8.226 eV/atom; SG = P4/mmm; crystal system = tetragonal
1.0
4.6305 0.0000 0.0000
0.0000 4.6305 0.0000
0.0000 0.0000 3.5217
Hf Mo H Pd
2 1 1 1
Cartesian
0.0000 2.3152 0.0000 Hf
2.3152 0.0000 0.0000 Hf
0.0000 0.0000 1.7608 Mo
0.0000 0.0000 0.0000 H
2.3152 2.3152 1.7608 Pd

---

[11]
NdHoAgPd (PBE, optimized geometry); DFT total energy = -4.887 eV/atom; energy of formation = -0.540 eV/atom; SG = F-43m; crystal system = cubic
1.0
0.0000 3.6245 3.6245
3.6245 0.0000 3.6245
3.6245 3.6245 0.0000
Nd Ho Ag Pd
1 1 1 1
Cartesian
0.0000 0.0000 0.0000 Nd
3.6245 3.6245 3.6245 Ho
1.8122 1.8122 1.8122 Ag
5.4367 5.4367 5.4367 Pd

---

[12]
PmPr2SmY6 (PBE, optimized geometry); DFT total energy = -5.667 eV/atom; energy of formation = 0.114 eV/atom; SG = C2/c; crystal system = monoclinic
1.0
4.5722 -7.5367 0.0000
4.5722 7.5367 0.0000
-1.8302 0.0000 9.7929
Pm Pr Sm Y
2 4 2 12
Cartesian
3.1996 6.0959 7.3446 Pm
4.1147 -6.0959 2.4482 Pm
0.6476 0.7286 9.3667 Pr
1.5627 -0.7286 4.4702 Pr
5.7515 0.7286 5.3226 Pr
6.6666 -0.7286 0.4262 Pr
4.1147 0.2401 2.4482 Sm
3.1996 -0.2401 7.3446 Sm
2.9862 5.9701 3.7367 Y
2.4085 3.3641 1.8113 Y
5.2431 5.9701 1.1597 Y
2.9070 2.8620 5.4518 Y
3.4922 2.8620 9.2375 Y
5.8208 3.3641 3.0851 Y
1.4934 -3.3641 6.7077 Y
3.8221 -2.8620 0.5554 Y
4.4072 -2.8620 4.3410 Y
2.0711 -5.9701 8.6332 Y
4.9057 -3.3641 7.9816 Y
4.3281 -5.9701 6.0561 Y

---

[13]
Pm2TmAs3Rh12 (PBE, optimized geometry); DFT total energy = -6.759 eV/atom; energy of formation = -0.307 eV/atom; SG = R-3m; crystal system = trigonal
1.0
4.5636 2.6348 4.3285
-4.5636 2.6348 4.3285
0.0000 -5.2696 4.3285
Pm Tm As Rh
2 1 3 12
Cartesian
0.0000 0.0000 1.8442 Pm
0.0000 0.0000 11.1412 Pm
0.0000 0.0000 6.4927 Tm
-2.2818 -1.3174 4.3285 As
-2.2818 1.3174 8.6569 As
0.0000 2.6348 4.3285 As
0.0000 -2.5331 3.6563 Rh
-2.1937 1.2666 3.6563 Rh
-2.3064 -1.3316 6.7006 Rh
0.0000 -2.6632 6.2849 Rh
-2.3064 1.3316 6.2849 Rh
-2.1937 -1.2666 9.3291 Rh
2.1937 1.2666 3.6563 Rh
2.3064 -1.3316 6.7005 Rh
0.0000 2.6632 6.7005 Rh
2.3064 1.3316 6.2849 Rh
2.1937 -1.2666 9.3291 Rh
0.0000 2.5331 9.3291 Rh

---

[14]
IrRuPb2 (PBE, optimized geometry); DFT total energy = -5.856 eV/atom; energy of formation = 0.533 eV/atom; SG = P2/m; crystal system = monoclinic
1.0
3.2769 0.0000 0.0000
0.0000 3.5857 0.0000
-0.0309 0.0000 6.5108
Ir Ru Pb
1 1 2
Cartesian
0.0000 0.0000 0.0000 Ir
-0.0155 0.0000 3.2554 Ru
1.6288 1.7929 1.6451 Pb
1.6171 1.7929 4.8657 Pb

---

[15]
BaNpTl2O8 (PBE, optimized geometry); DFT total energy = -6.541 eV/atom; SG = P-1; crystal system = triclinic
1.0
5.1792 0.0000 0.0000
-0.0747 5.3259 0.0000
-0.1134 -0.7127 7.5875
Ba Np Tl O
1 1 2 8
Cartesian
0.0000 0.0000 0.0000 Ba
-0.0567 -0.3564 3.7938 Np
2.5137 2.4581 2.1293 Tl
2.4774 2.1551 5.4582 Tl
0.6930 4.0233 2.2691 O
0.6677 3.8685 5.1525 O
1.6025 1.1295 3.8482 O
2.2134 1.5594 0.2865 O
2.7777 3.0539 7.3010 O
3.3886 3.4837 3.7393 O
4.3234 0.7447 2.4350 O
4.2981 0.5900 5.3184 O

---

[16]
CaPmGaSi (PBE, optimized geometry); DFT total energy = -4.415 eV/atom; SG = Amm2; crystal system = orthorhombic
1.0
4.0489 0.0000 0.0000
0.0000 2.2299 5.4977
0.0000 -2.2299 5.4977
Ca Pm Ga Si
1 1 1 1
Cartesian
0.0000 0.0000 0.0000 Ca
2.0244 0.0000 3.0712 Pm
2.0244 0.0000 6.2665 Ga
0.0000 0.0000 7.8511 Si

---

[17]
Ag2Hg (PBE, optimized geometry); DFT total energy = -1.891 eV/atom; energy of formation = 0.111 eV/atom; SG = Fd-3m; crystal system = cubic
1.0
0.0000 3.9802 3.9802
3.9802 0.0000 3.9802
3.9802 3.9802 0.0000
Ag Hg
4 2
Cartesian
0.0000 0.0000 0.0000 Ag
1.9901 1.9901 0.0000 Ag
1.9901 0.0000 1.9901 Ag
0.0000 1.9901 1.9901 Ag
2.9851 2.9851 2.9851 Hg
4.9752 4.9752 4.9752 Hg

---

[18]
MnRu2Rh (PBE, optimized geometry); DFT total energy = -8.590 eV/atom; energy of formation = 0.178 eV/atom; SG = Immm; crystal system = orthorhombic
1.0
-1.4082 2.1555 4.6015
1.4082 -2.1555 4.6015
1.4082 2.1555 -4.6015
Mn Ru Rh
1 2 1
Cartesian
0.0000 0.0000 0.0000 Mn
1.4082 0.0000 2.0212 Ru
0.0000 2.1555 2.5803 Ru
0.0000 0.0000 4.6015 Rh

---

[19]
Tm5Al2Ga2 (PBE, optimized geometry); DFT total energy = -4.390 eV/atom; energy of formation = -0.401 eV/atom; SG = Cmce; crystal system = orthorhombic
1.0
7.6421 -3.9451 0.0000
7.6421 3.9451 0.0000
0.0000 0.0000 7.3638
Tm Al Ga
10 4 4
Cartesian
0.0000 0.0000 0.0000 Tm
5.4686 2.4897 4.9313 Tm
5.4686 1.4554 1.2494 Tm
9.8156 2.4897 4.9313 Tm
9.8156 1.4554 1.2494 Tm
7.6421 0.0000 3.6819 Tm
5.4686 -1.4554 6.1144 Tm
5.4686 -2.4897 2.4325 Tm
9.8156 -1.4554 6.1144 Tm
9.8156 -2.4897 2.4325 Tm
7.6421 2.9737 2.8198 Al
7.6421 0.9714 6.5017 Al
7.6421 -0.9714 0.8620 Al
7.6421 -2.9737 4.5439 Al
3.1758 0.0000 0.0000 Ga
4.4663 0.0000 3.6819 Ga
10.8179 0.0000 3.6819 Ga
12.1084 0.0000 0.0000 Ga

---

[20]
Al8Zn5W (PBE, optimized geometry); DFT total energy = -3.397 eV/atom; energy of formation = 0.122 eV/atom; SG = I-4; crystal system = tetragonal
1.0
-4.3116 4.3116 3.2296
4.3116 -4.3116 3.2296
4.3116 4.3116 -3.2296
Al Zn W
8 5 1
Cartesian
2.4391 3.3253 -1.5661 Al
1.8725 0.9863 1.6635 Al
0.4128 2.8461 0.4416 Al
5.2979 2.4391 1.5661 Al
-0.4128 5.7772 0.4416 Al
-1.4656 3.8988 2.7880 Al
-0.9863 1.8725 4.7957 Al
1.4656 4.7244 2.7880 Al
5.1478 2.9432 -0.9916 Zn
4.3116 0.0000 1.6148 Zn
-0.8362 1.3685 2.2380 Zn
2.9432 3.4754 0.9916 Zn
1.3685 0.8362 4.2211 Zn
0.0000 0.0000 0.0000 W

---

no.,magnetization (μB per formula unit)
1,0.00
2,1.37
3,0.00
4,10.50
5,0.00
6,0.00
7,4.20
8,0.00
9,0.00
10,0.00
11,0.00
12,0.00
13,0.00
14,0.00
15,1.02
16,0.00
17,0.00
18,2.53
19,0.00
20,0.00